[1]
DFT (PBE) results for a relaxed CaTbErTl crystal. Values from VASP.

```
&SYSTEM
  ibrav = 0, nat = 4, ntyp = 4
/
ATOMIC_SPECIES
Ca 40.08 Ca.upf
Er 167.26 Er.upf
Tl 204.38 Tl.upf
Tb 158.93 Tb.upf
CELL_PARAMETERS angstrom
-3.227 -1.749 -4.101
2.223 -2.454 -4.395
-0.742 -5.393 -0.809
ATOMIC_POSITIONS angstrom
Ca -0.873 -4.798 -4.652
Er -1.309 -7.197 -6.979
Tl 0.000 0.000 0.000
Tb -0.436 -2.399 -2.326
```

Computed properties:
- Calculated volume: 117.9 Å³/f.u.
- Uncorrected energy: -3.42 eV/atom

[2]
DFT (PBE) results for a relaxed CdSbAs2 crystal. Values from VASP.

```
&SYSTEM
  ibrav = 0, nat = 4, ntyp = 3
/
ATOMIC_SPECIES
As 74.92 As.upf
Cd 112.41 Cd.upf
Sb 121.76 Sb.upf
CELL_PARAMETERS angstrom
-0.910 -2.047 5.532
5.537 -0.305 -2.206
1.347 2.181 1.613
ATOMIC_POSITIONS angstrom
As 0.000 0.000 0.000
Cd 0.219 0.067 3.572
As 2.314 -1.176 1.663
Sb 3.442 0.938 -0.296
```

Computed properties:
- Formation energy without anion corrections: 7.3 kcal/mol of atoms
- ΔE to the lowest computed polymorph: 1.08 eV per formula unit
- Calculated volume: 89.5 Å³/f.u.
- Uncorrected energy: -3.27 eV/atom

[3]
DFT (PBE) results for a relaxed K4U3Te8Au crystal. Values from VASP.

```
&SYSTEM
  ibrav = 0, nat = 16, ntyp = 4
/
ATOMIC_SPECIES
U 238.03 U.upf
K 39.10 K.upf
Te 127.60 Te.upf
Au 196.97 Au.upf
CELL_PARAMETERS angstrom
8.874 0.000 0.000
0.000 9.748 0.436
-4.437 -4.551 6.457
ATOMIC_POSITIONS angstrom
U 2.218 2.598 3.446
U -2.218 2.598 3.446
K 0.000 0.000 0.000
Te 0.000 0.406 3.537
K 2.218 -2.276 3.228
Te 6.709 2.770 0.344
Te 2.272 2.426 6.549
U 4.437 4.874 0.218
Te 2.165 2.770 0.344
Te -2.272 2.426 6.549
Te 0.000 4.714 3.486
K -2.218 -2.276 3.228
Te 4.437 4.791 3.356
Te 4.437 0.482 3.407
Au 0.000 4.874 0.218
K 4.437 0.000 0.000
```

Computed properties:
- Formation energy without anion corrections: -17.2 kcal/mol of atoms
- Calculated volume: 576.1 Å³/f.u.
- Uncorrected energy: -4.91 eV/atom

[4]
DFT (PBE) results for a relaxed RbTl4HgPd2 crystal. Values from VASP.

```
&SYSTEM
  ibrav = 0, nat = 8, ntyp = 4
/
ATOMIC_SPECIES
Pd 106.42 Pd.upf
Tl 204.38 Tl.upf
Rb 85.47 Rb.upf
Hg 200.59 Hg.upf
CELL_PARAMETERS angstrom
-1.088 3.982 2.796
-4.457 -1.965 1.064
3.652 -4.243 7.466
ATOMIC_POSITIONS angstrom
Pd 0.344 -2.612 8.300
Tl -1.154 -2.231 2.729
Rb 0.000 0.000 0.000
Tl 0.531 0.742 3.595
Pd -2.237 0.386 3.025
Hg 1.826 -2.122 3.733
Tl 0.349 -3.977 5.801
Tl 2.033 -1.003 6.667
```

Computed properties:
- Calculated volume: 232.0 Å³/f.u.
- Uncorrected energy: -2.68 eV/atom

[5]
DFT (PBE) results for a relaxed NdScRu crystal. Values from VASP.

```
&SYSTEM
  ibrav = 0, nat = 6, ntyp = 3
/
ATOMIC_SPECIES
Sc 44.96 Sc.upf
Nd 144.24 Nd.upf
Ru 101.07 Ru.upf
CELL_PARAMETERS angstrom
-0.357 -3.917 -0.862
0.328 -0.953 4.195
-8.130 2.544 1.214
ATOMIC_POSITIONS angstrom
Sc -8.306 -0.633 1.615
Sc 0.148 -1.694 2.932
Nd -2.739 -1.025 1.091
Ru -1.797 -3.528 2.667
Ru -6.361 1.201 1.880
Nd -5.420 -1.302 3.456
```

Computed properties:
- ΔE to the lowest computed polymorph: 0.00 eV per formula unit
- Calculated volume: 72.7 Å³/f.u.
- Uncorrected energy: -6.99 eV/atom

[6]
DFT (PBE) results for a relaxed LiSiB crystal. Values from VASP.

```
&SYSTEM
  ibrav = 0, nat = 6, ntyp = 3
/
ATOMIC_SPECIES
Si 28.09 Si.upf
Li 6.94 Li.upf
B 10.81 B.upf
CELL_PARAMETERS angstrom
-1.437 0.238 3.092
-1.775 -1.305 -2.614
2.638 -7.149 1.777
ATOMIC_POSITIONS angstrom
Si -0.890 -2.063 1.635
Li 0.000 0.000 0.000
Li 1.319 -3.575 0.888
B -1.003 -2.578 -0.267
Si 0.316 -6.152 0.621
B 0.429 -5.638 2.523
```

Computed properties:
- Formation energy without anion corrections: -2.1 kcal/mol of atoms
- Calculated volume: 39.6 Å³/f.u.
- Uncorrected energy: -4.76 eV/atom

[7]
DFT (PBE) results for a relaxed KNp2Cd2O7 crystal. Values from VASP.

```
&SYSTEM
  ibrav = 0, nat = 12, ntyp = 4
/
ATOMIC_SPECIES
O 16.00 O.upf
K 39.10 K.upf
Np 237.00 Np.upf
Cd 112.41 Cd.upf
CELL_PARAMETERS angstrom
4.236 0.000 0.000
0.000 4.475 0.000
-2.118 -2.238 10.235
ATOMIC_POSITIONS angstrom
O 2.118 0.000 2.239
K 2.119 2.238 10.235
Np 0.001 0.000 8.102
O 0.000 0.000 5.757
O 2.119 0.001 8.136
Cd 2.119 0.000 4.656
O 2.118 2.237 4.479
O 0.001 2.238 7.997
O 0.001 0.000 10.235
Cd 0.000 2.238 5.580
O 0.000 2.237 2.099
Np 2.118 2.237 2.133
```

Computed properties:
- Formation energy without anion corrections: -49.9 kcal/mol of atoms
- Calculated volume: 194.1 Å³/f.u.
- Uncorrected energy: -7.46 eV/atom

[8]
DFT (PBE) results for a relaxed RbHW crystal. Values from VASP.

```
&SYSTEM
  ibrav = 0, nat = 12, ntyp = 3
/
ATOMIC_SPECIES
Rb 85.47 Rb.upf
W 183.84 W.upf
H 1.01 H.upf
CELL_PARAMETERS angstrom
-2.921 1.578 0.564
-0.145 -1.367 3.074
10.807 17.102 8.115
ATOMIC_POSITIONS angstrom
Rb 7.185 11.370 5.395
W 9.242 14.625 6.939
H 6.305 12.508 7.704
Rb 5.419 8.576 4.069
Rb -1.517 0.130 1.831
H 0.832 1.317 0.625
W 7.199 13.925 8.376
H 4.703 9.973 6.501
W 2.305 6.180 4.701
W 3.329 5.268 2.500
H 2.434 3.852 1.828
Rb 0.248 2.924 3.156
```

Computed properties:
- ΔE to the lowest computed polymorph: 0.25 eV per formula unit
- Calculated volume: 61.8 Å³/f.u.
- Uncorrected energy: -5.33 eV/atom

[9]
DFT (PBE) results for a relaxed Rb2HfGaH crystal. Values from VASP.

```
&SYSTEM
  ibrav = 0, nat = 5, ntyp = 4
/
ATOMIC_SPECIES
Rb 85.47 Rb.upf
H 1.01 H.upf
Hf 178.49 Hf.upf
Ga 69.72 Ga.upf
CELL_PARAMETERS angstrom
7.232 0.000 0.000
0.000 3.646 0.000
0.000 0.000 7.232
ATOMIC_POSITIONS angstrom
Rb 0.000 0.000 3.616
H 0.000 1.823 0.000
Hf 0.000 0.000 0.000
Rb 3.616 0.000 0.000
Ga 3.616 1.823 3.616
```

Computed properties:
- Calculated volume: 190.7 Å³/f.u.
- Uncorrected energy: -2.80 eV/atom

[10]
DFT (PBE) results for a relaxed Np2Co3As4 crystal. Values from VASP.

```
&SYSTEM
  ibrav = 0, nat = 9, ntyp = 3
/
ATOMIC_SPECIES
Co 58.93 Co.upf
Np 237.00 Np.upf
As 74.92 As.upf
CELL_PARAMETERS angstrom
5.507 -0.199 0.000
-2.736 4.783 0.000
-1.385 -2.292 5.842
ATOMIC_POSITIONS angstrom
Co 2.753 -0.100 0.000
Np 1.385 2.292 1.529
Co -1.368 2.392 0.000
As 4.192 0.595 1.760
As -1.421 3.989 1.760
As -2.807 1.697 4.081
As 2.807 -1.697 4.081
Co 0.000 0.000 0.000
Np 0.000 0.000 4.312
```

Computed properties:
- Calculated volume: 150.7 Å³/f.u.
- Uncorrected energy: -7.65 eV/atom

[11]
DFT (PBE) results for a relaxed Pm8NdDy5 crystal. Values from VASP.

```
&SYSTEM
  ibrav = 0, nat = 14, ntyp = 3
/
ATOMIC_SPECIES
Pm 145.00 Pm.upf
Dy 162.50 Dy.upf
Nd 144.24 Nd.upf
CELL_PARAMETERS angstrom
-2.912 7.649 -2.503
-6.028 -6.034 -0.706
2.461 1.036 8.131
ATOMIC_POSITIONS angstrom
Pm -4.512 0.698 0.488
Pm -2.058 3.709 5.572
Pm -2.836 4.341 0.681
Dy -7.523 1.366 -1.328
Dy -4.735 2.873 3.337
Dy 0.979 2.545 7.067
Pm -4.729 -3.087 -0.326
Pm -3.552 -3.445 3.104
Dy -1.679 -1.482 0.769
Pm -5.083 -0.268 4.716
Pm -1.528 1.448 2.467
Dy -0.226 4.343 2.814
Nd -1.896 -0.327 5.120
Pm -1.619 7.211 2.987
```

Computed properties:
- Calculated volume: 480.9 Å³/f.u.
- Uncorrected energy: -4.46 eV/atom

[12]
DFT (PBE) results for a relaxed Tb2Pm2ZnGa4 crystal. Values from VASP.

```
&SYSTEM
  ibrav = 0, nat = 9, ntyp = 4
/
ATOMIC_SPECIES
Pm 145.00 Pm.upf
Ga 69.72 Ga.upf
Tb 158.93 Tb.upf
Zn 65.41 Zn.upf
CELL_PARAMETERS angstrom
6.625 0.148 0.214
-3.050 5.883 -0.214
-3.050 -2.267 5.433
ATOMIC_POSITIONS angstrom
Pm 0.262 -0.155 4.128
Ga 1.749 0.957 1.382
Tb -4.187 2.481 3.582
Pm 0.262 3.920 1.305
Zn 0.000 0.000 0.000
Tb -1.914 1.135 1.638
Ga -1.225 2.807 4.051
Ga -3.050 -0.273 4.051
Ga -3.050 3.889 1.168
```

Computed properties:
- Calculated volume: 216.4 Å³/f.u.
- Uncorrected energy: -3.90 eV/atom

[13]
DFT (PBE) results for a relaxed Ac4CuO7 crystal. Values from VASP.

```
&SYSTEM
  ibrav = 0, nat = 12, ntyp = 3
/
ATOMIC_SPECIES
O 16.00 O.upf
Ac 227.00 Ac.upf
Cu 63.55 Cu.upf
CELL_PARAMETERS angstrom
-0.253 -3.650 -2.061
2.057 -5.169 4.623
-6.632 -2.777 1.454
ATOMIC_POSITIONS angstrom
O -3.582 -6.208 2.877
O -5.643 -7.213 0.633
O -1.247 -5.388 1.139
Ac -4.455 -8.505 2.775
O 0.814 -4.383 3.383
O -0.127 -1.825 -1.031
O -2.134 -8.858 3.114
Ac -3.810 -4.961 0.698
Cu 0.000 0.000 0.000
Ac -0.374 -3.091 1.241
O -2.695 -2.738 0.902
Ac -1.018 -6.635 3.318
```

Computed properties:
- Formation energy without anion corrections: -66.7 kcal/mol of atoms
- Calculated volume: 203.9 Å³/f.u.
- Uncorrected energy: -7.50 eV/atom

[14]
DFT (PBE) results for a relaxed SrAc2InRh crystal. Values from VASP.

```
&SYSTEM
  ibrav = 0, nat = 5, ntyp = 4
/
ATOMIC_SPECIES
Ac 227.00 Ac.upf
Rh 102.91 Rh.upf
In 114.82 In.upf
Sr 87.62 Sr.upf
CELL_PARAMETERS angstrom
5.710 0.000 0.000
0.000 5.710 0.000
0.000 0.000 5.787
ATOMIC_POSITIONS angstrom
Ac 0.000 2.855 5.783
Rh 0.000 0.000 5.787
In 2.855 2.855 2.903
Sr 0.000 5.710 2.892
Ac 2.855 5.710 5.784
```

Computed properties:
- Calculated volume: 188.7 Å³/f.u.
- Uncorrected energy: -4.34 eV/atom

[15]
DFT (PBE) results for a relaxed CeSm7Tm12 crystal. Values from VASP.

```
&SYSTEM
  ibrav = 0, nat = 20, ntyp = 3
/
ATOMIC_SPECIES
Sm 150.36 Sm.upf
Tm 168.93 Tm.upf
Ce 140.12 Ce.upf
CELL_PARAMETERS angstrom
-5.435 3.018 -5.991
-5.344 -6.606 1.526
-4.046 4.671 6.028
ATOMIC_POSITIONS angstrom
Sm -7.413 0.541 0.782
Tm -6.356 3.203 2.735
Tm -7.091 0.913 -2.650
Tm -7.972 3.717 -0.492
Sm -6.581 4.132 -3.557
Tm -6.853 -2.635 2.056
Tm -4.424 0.191 2.547
Sm -9.110 -1.204 -4.365
Tm -4.876 -1.376 -0.654
Tm -8.470 -2.121 -1.172
Sm -5.715 2.286 5.928
Tm -9.949 2.458 2.217
Ce 0.000 0.000 0.000
Tm -7.734 0.169 4.214
Sm -7.916 6.099 1.909
Tm -4.591 2.198 -0.428
Tm -10.234 -1.116 1.992
Sm -6.910 -5.017 -0.346
Sm -8.245 -3.050 5.121
Tm -10.401 0.890 -0.984
```

Computed properties:
- Calculated volume: 643.4 Å³/f.u.
- Uncorrected energy: -4.39 eV/atom

[16]
DFT (PBE) results for a relaxed NaAcNdAg crystal. Values from VASP.

```
&SYSTEM
  ibrav = 0, nat = 4, ntyp = 4
/
ATOMIC_SPECIES
Ac 227.00 Ac.upf
Ag 107.87 Ag.upf
Na 22.99 Na.upf
Nd 144.24 Nd.upf
CELL_PARAMETERS angstrom
5.638 0.000 0.000
2.819 4.883 0.000
2.819 1.628 4.604
ATOMIC_POSITIONS angstrom
Ac 0.000 0.000 0.000
Ag 2.819 1.628 1.151
Na 8.458 4.883 3.453
Nd 5.638 3.255 2.302
```

Computed properties:
- Calculated volume: 126.8 Å³/f.u.
- Uncorrected energy: -3.18 eV/atom

[17]
DFT (PBE) results for a relaxed PrYHg6 crystal. Values from VASP.

```
&SYSTEM
  ibrav = 0, nat = 8, ntyp = 3
/
ATOMIC_SPECIES
Hg 200.59 Hg.upf
Y 88.91 Y.upf
Pr 140.91 Pr.upf
CELL_PARAMETERS angstrom
5.051 0.000 0.000
0.000 6.753 -0.219
0.000 -3.186 5.958
ATOMIC_POSITIONS angstrom
Hg 2.526 5.932 0.291
Hg 2.526 2.546 0.407
Hg 0.000 1.022 5.397
Y 0.000 -2.354 5.441
Hg 2.526 4.329 3.276
Hg 0.000 2.658 2.326
Pr 2.526 0.951 3.387
Hg 0.000 -0.820 2.433
```

Computed properties:
- ΔE to the lowest computed polymorph: 0.00 eV per formula unit
- Calculated volume: 199.7 Å³/f.u.
- Uncorrected energy: -2.00 eV/atom

[18]
DFT (PBE) results for a relaxed Sc2GaI crystal. Values from VASP.

```
&SYSTEM
  ibrav = 0, nat = 4, ntyp = 3
/
ATOMIC_SPECIES
I 126.90 I.upf
Ga 69.72 Ga.upf
Sc 44.96 Sc.upf
CELL_PARAMETERS angstrom
2.016 0.000 10.188
-1.008 1.746 10.188
-1.008 -1.746 10.188
ATOMIC_POSITIONS angstrom
I 0.000 0.000 15.282
Ga 0.000 0.000 0.000
Sc 0.000 0.000 27.788
Sc 0.000 0.000 2.775
```

Computed properties:
- Formation energy without anion corrections: 0.7 kcal/mol of atoms
- ΔE to the lowest computed polymorph: 1.90 eV per formula unit
- Calculated volume: 107.6 Å³/f.u.
- Uncorrected energy: -4.28 eV/atom

[19]
DFT (PBE) results for a relaxed RbAg2PdF6 crystal. Values from VASP.

```
&SYSTEM
  ibrav = 0, nat = 20, ntyp = 4
/
ATOMIC_SPECIES
F 19.00 F.upf
Ag 107.87 Ag.upf
Pd 106.42 Pd.upf
Rb 85.47 Rb.upf
CELL_PARAMETERS angstrom
6.131 0.000 -0.110
0.000 6.485 0.000
-0.100 0.000 8.739
ATOMIC_POSITIONS angstrom
F 4.765 5.562 4.521
F 0.805 2.148 6.998
Ag -0.028 0.103 6.364
Ag 2.944 3.346 6.689
F 3.801 1.433 5.514
Pd 0.000 3.243 0.000
Ag 3.087 3.139 1.940
Rb 3.065 0.000 -0.055
F 5.245 4.675 7.429
Ag 6.059 6.382 2.264
Rb -0.050 3.243 4.369
F 1.750 4.166 0.207
F 5.226 4.338 1.631
F 2.111 5.390 6.055
F 2.230 5.053 3.115
F 3.920 1.095 2.573
F 1.266 0.923 4.108
Pd 3.015 0.000 4.314
F 0.786 1.810 1.200
F 4.281 2.319 8.422
```

Computed properties:
- Formation energy without anion corrections: -34.3 kcal/mol of atoms
- Calculated volume: 173.7 Å³/f.u.
- Uncorrected energy: -3.80 eV/atom

[20]
DFT (PBE) results for a relaxed Ga2BRh crystal. Values from VASP.

```
&SYSTEM
  ibrav = 0, nat = 8, ntyp = 3
/
ATOMIC_SPECIES
B 10.81 B.upf
Ga 69.72 Ga.upf
Rh 102.91 Rh.upf
CELL_PARAMETERS angstrom
-0.350 0.992 -7.537
3.160 -6.843 -1.047
-0.496 -3.799 -4.319
ATOMIC_POSITIONS angstrom
B 2.035 -6.784 -4.829
Ga 1.765 -4.984 -3.583
Ga 0.094 -1.305 -5.015
Ga 1.062 -5.867 -6.584
Ga 1.707 -7.146 -10.624
Rh 0.000 0.000 0.000
Rh 0.280 -2.867 -8.074
B 1.405 -2.926 -4.292
```

Computed properties:
- Calculated volume: 60.6 Å³/f.u.
- Uncorrected energy: -4.81 eV/atom

[21]
DFT (PBE) results for a relaxed TcAgC3 crystal. Values from VASP.

```
&SYSTEM
  ibrav = 0, nat = 5, ntyp = 3
/
ATOMIC_SPECIES
Tc 98.00 Tc.upf
C 12.01 C.upf
Ag 107.87 Ag.upf
CELL_PARAMETERS angstrom
3.999 0.000 0.000
0.000 3.999 0.000
0.000 0.000 3.999
ATOMIC_POSITIONS angstrom
Tc 2.000 2.000 2.000
C 2.000 0.000 0.000
Ag 0.000 0.000 0.000
C 0.000 2.000 0.000
C 0.000 0.000 2.000
```

Computed properties:
- ΔE to the lowest computed polymorph: 7.76 eV per formula unit
- Calculated volume: 64.0 Å³/f.u.
- Uncorrected energy: -4.71 eV/atom

[22]
DFT (PBE) results for a relaxed Ca5Sn3Hg crystal. Values from VASP.

```
&SYSTEM
  ibrav = 0, nat = 18, ntyp = 3
/
ATOMIC_SPECIES
Sn 118.71 Sn.upf
Ca 40.08 Ca.upf
Hg 200.59 Hg.upf
CELL_PARAMETERS angstrom
-3.055 -7.359 -2.376
7.717 -2.737 -1.445
-1.849 2.395 9.505
ATOMIC_POSITIONS angstrom
Sn 0.241 -1.326 3.798
Ca 0.009 -7.446 -0.262
Hg 4.099 -2.694 3.075
Sn 2.569 -1.922 -0.834
Sn 2.572 -6.374 1.887
Ca 0.745 -3.486 1.074
Ca 2.331 -5.048 -1.910
Ca 2.804 -0.254 5.947
Ca 4.916 -4.100 0.595
Sn 2.093 -8.174 -2.987
Hg -1.286 -5.005 2.610
Ca 2.068 -4.214 4.611
Sn -0.969 -4.888 -1.645
Ca -2.104 -3.600 5.090
Ca -1.368 0.360 6.426
Ca 4.181 -8.060 -0.741
Ca 0.000 0.000 0.000
Sn 5.631 -5.208 -2.176
```

Computed properties:
- Calculated volume: 278.5 Å³/f.u.
- Uncorrected energy: -3.05 eV/atom